No. 1
Material: CaB5C2
Method: DFT, PBE
State: relaxed

Lattice parameters (Å, degrees): 5.7983 4.8931 4.8931 54.12 53.67 53.67
Last column: nearest neighbours and their distance in Å.
Element x y z (fractional)
B 0.3709 0.4257 0.8324  1 C 1.62, 2 B 1.68-1.81
B 0.6291 0.1676 0.5743  1 C 1.62, 2 B 1.68-1.81
B 0.6291 0.5743 0.1676  1 C 1.62, 2 B 1.68-1.81
B 0.3709 0.8324 0.4257  1 C 1.62, 2 B 1.68-1.81
B 0.0000 0.5000 0.5000  2 C 1.47
Ca 0.0000 0.0000 0.0000  2 B 2.23
C 0.7739 0.7261 0.7261  3 B 1.47-1.62
C 0.2261 0.2739 0.2739  3 B 1.47-1.62

Summary:
Its space group is Immm (71). The calculated total energy is -6.250 eV/atom. The value obtained for the volume is 83.97 Å³/cell. The value obtained for the energy of formation from the pure elements is 0.479 eV per atom.


No. 2
Material: PmPt3
Method: DFT, PBE
State: relaxed

Lattice parameters (Å, degrees): 4.1801 4.1810 4.1811 90.00 90.00 90.00
Last column: nearest neighbours and their distance in Å.
Element x y z (fractional)
Pt 0.5000 0.0000 0.4168  8 Pt 2.96, 4 Pm 2.96
Pt 0.0000 0.0000 0.9167  8 Pt 2.96, 4 Pm 2.96
Pt 0.5000 0.5000 0.9166  8 Pt 2.96, 4 Pm 2.96
Pm 0.0000 0.5000 0.4166  12 Pt 2.96

Summary:
Its space group is Pm-3m (221). The calculated total energy is -6.622 eV/atom. The value obtained for the volume is 73.07 Å³/cell. The value obtained for the energy of formation from the pure elements is -0.904 eV per atom.


No. 3
Material: RbLiBi
Method: DFT, PBE
State: relaxed

Lattice parameters (Å, degrees): 3.9840 5.4639 5.4639 120.00 90.00 90.00
Last column: nearest neighbours and their distance in Å.
Element x y z (fractional)
Rb 0.6668 0.3333 0.6667  6 Li 3.73, 6 Bi 3.73, 2 Rb 3.98
Bi 0.1669 0.6667 0.3333  3 Li 3.15
Li 0.1662 0.0000 0.0000  3 Bi 3.15

Summary:
Its space group is P-6m2 (187). The calculated total energy is -2.526 eV/atom. The value obtained for the volume is 103.00 Å³/cell. The value obtained for the energy of formation from the pure elements is -0.272 eV per atom.


No. 4
Material: Li2GeOs4
Method: DFT, PBE
State: relaxed

Lattice parameters (Å, degrees): 4.4692 4.4692 6.8673 71.01 71.01 90.00
Last column: nearest neighbours and their distance in Å.
Element x y z (fractional)
Os 0.5000 0.0000 0.0000  2 Ge 2.23
Os 0.8096 0.8096 0.3808  1 Ge 2.32, 1 Li 2.41
Os 0.0000 0.5000 0.0000  2 Ge 2.23
Os 0.1904 0.1904 0.6192  1 Ge 2.32, 1 Li 2.41
Li 0.3884 0.3884 0.2232  5 Os 2.41-2.62
Li 0.6116 0.6116 0.7768  5 Os 2.41-2.62
Ge 0.0000 0.0000 0.0000  6 Os 2.23-2.32

Summary:
Its space group is I4/mmm (139). The calculated total energy is -5.822 eV/atom. The value obtained for the volume is 121.78 Å³/cell. The value obtained for the energy of formation from the pure elements is 1.801 eV per atom.


No. 5
Material: KV2Cd
Method: DFT, PBE
State: relaxed

Lattice parameters (Å, degrees): 4.3424 4.3424 11.2045 78.83 78.83 90.00
Last column: nearest neighbours and their distance in Å.
Element x y z (fractional)
Cd 0.7500 0.2500 0.5000  4 V 2.91, 4 K 3.07
Cd 0.0000 0.0000 0.0000  4 V 2.91, 4 K 3.07
V 0.8750 0.0789 0.7500  2 V 2.21
V 0.8289 0.1250 0.2500  2 V 2.21
V 0.9211 0.6250 0.2500  2 V 2.21
V 0.3750 0.1711 0.7500  2 V 2.21
K 0.5000 0.5000 0.0000  4 Cd 3.07
K 0.2500 0.7500 0.5000  4 Cd 3.07

Summary:
Its space group is I-42d (122). The calculated total energy is -3.847 eV/atom. The value obtained for the volume is 203.18 Å³/cell. The value obtained for the energy of formation from the pure elements is 1.216 eV per atom.


No. 6
Material: BaB2H2O5
Method: DFT, PBE
State: relaxed

Lattice parameters (Å, degrees): 7.0450 7.2763 11.9365 90.00 90.96 90.00
Last column: nearest neighbours and their distance in Å.
Element x y z (fractional)
O 0.0736 0.2171 0.5434  1 H 0.99
O 0.7060 0.4114 0.0499  1 H 0.98
O 0.8344 0.9797 0.7743  2 B 1.49
O 0.3880 0.4429 0.6759  1 H 0.98
O 0.6265 0.2018 0.6802  2 B 1.46-1.49
O 0.3735 0.2018 0.8198  2 B 1.46-1.49
O 0.3008 0.9219 0.9146  2 B 1.46-1.50
O 0.3880 0.5571 0.1759  1 H 0.98
O 0.0371 0.2666 0.3455  2 B 1.45-1.49
O 0.0736 0.7829 0.0434  1 H 0.99
O 0.3008 0.0781 0.4146  2 B 1.46-1.50
O 0.5000 0.9102 0.7500  2 B 1.48
O 0.7060 0.5886 0.5499  1 H 0.98
O 0.1656 0.0203 0.2257  2 B 1.49
O 0.9264 0.7829 0.4566  1 H 0.99
O 0.6120 0.5571 0.3241  1 H 0.98
O 0.0371 0.7334 0.8455  2 B 1.45-1.49
O 0.6265 0.7982 0.1802  2 B 1.46-1.49
O 0.5000 0.0898 0.2500  2 B 1.48
O 0.9629 0.2666 0.1545  2 B 1.45-1.49
O 0.6992 0.0781 0.0854  2 B 1.46-1.50
O 0.6120 0.4429 0.8241  1 H 0.98
O 0.1656 0.9797 0.7257  2 B 1.49
O 0.9629 0.7334 0.6545  2 B 1.45-1.49
O 0.9264 0.2171 0.9566  1 H 0.99
O 0.2940 0.4114 0.4501  1 H 0.98
O 0.6992 0.9219 0.5854  2 B 1.46-1.50
O 0.2940 0.5886 0.9501  1 H 0.98
O 0.8344 0.0203 0.2743  2 B 1.49
O 0.3735 0.7982 0.3198  2 B 1.46-1.49
B 0.3356 0.9973 0.3008  4 O 1.48-1.50
B 0.8234 0.2351 0.0658  4 O 1.45-1.54
B 0.8234 0.7649 0.5658  4 O 1.45-1.54
B 0.1766 0.7649 0.9342  4 O 1.45-1.54
B 0.5000 0.3105 0.7500  4 O 1.46-1.52
B 0.3356 0.0027 0.8008  4 O 1.48-1.50
B 0.6644 0.9973 0.1992  4 O 1.48-1.50
B 0.5000 0.6895 0.2500  4 O 1.46-1.52
B 0.1766 0.2351 0.4342  4 O 1.45-1.54
B 0.6644 0.0027 0.6992  4 O 1.48-1.50
B 0.0000 0.8600 0.7500  4 O 1.49
B 0.0000 0.1400 0.2500  4 O 1.49
Ba 0.3164 0.2243 0.0522  10 O 2.75-3.06, 3 H 2.84-2.90
Ba 0.0000 0.3770 0.7500  8 O 2.78-3.03, 4 H 2.80-3.11
Ba 0.6836 0.7757 0.9478  10 O 2.75-3.06, 3 H 2.84-2.90
Ba 0.3164 0.7757 0.5522  10 O 2.75-3.06, 3 H 2.84-2.90
Ba 0.6836 0.2243 0.4478  10 O 2.75-3.06, 3 H 2.84-2.90
Ba 0.0000 0.6230 0.2500  8 O 2.78-3.03, 4 H 2.80-3.11
H 0.3667 0.4425 0.3831  1 O 0.98
H 0.3591 0.3872 0.6024  1 O 0.98
H 0.8822 0.1168 0.9069  1 O 0.99
H 0.1178 0.8832 0.0931  1 O 0.99
H 0.6333 0.4425 0.1169  1 O 0.98
H 0.8822 0.8832 0.4069  1 O 0.99
H 0.3591 0.6128 0.1024  1 O 0.98
H 0.1178 0.1168 0.5931  1 O 0.99
H 0.3667 0.5575 0.8831  1 O 0.98
H 0.6333 0.5575 0.6169  1 O 0.98
H 0.6409 0.6128 0.3976  1 O 0.98
H 0.6409 0.3872 0.8976  1 O 0.98

Summary:
Its space group is P2/c (13). The calculated total energy is -6.890 eV/atom. The value obtained for the volume is 611.79 Å³/cell.


No. 7
Material: H2SeS
Method: DFT, PBE
State: relaxed

Lattice parameters (Å, degrees): 3.9898 3.2395 6.6985 90.00 106.79 90.00
Last column: nearest neighbours and their distance in Å.
Element x y z (fractional)
Se 0.0027 0.0000 0.7763  1 S 2.09
H 0.2373 0.5000 0.3252  1 H 0.75
H 0.4160 0.5000 0.4032  1 H 0.75
S 0.6803 0.0000 0.9723  1 Se 2.09

Summary:
Its space group is Pm (6). The calculated total energy is -3.475 eV/atom. The value obtained for the volume is 82.89 Å³/cell.


No. 8
Material: CeHo2Sc
Method: DFT, PBE
State: relaxed

Lattice parameters (Å, degrees): 5.3015 8.1348 10.6418 90.00 90.00 90.00
Last column: nearest neighbours and their distance in Å.
Element x y z (fractional)
Ce 0.2500 0.0627 0.4770  2 Ce 2.88, 1 Sc 3.17
Ce 0.7500 0.9373 0.5230  2 Ce 2.88, 1 Sc 3.17
Ce 0.2500 0.5627 0.0230  2 Ce 2.88, 1 Sc 3.17
Ce 0.7500 0.4373 0.9770  2 Ce 2.88, 1 Sc 3.17
Ho 0.7500 0.6443 0.2711  4 Sc 3.27-3.47, 4 Ho 3.39-3.56, 2 Ce 3.55-3.59
Ho 0.7500 0.1443 0.2289  4 Sc 3.27-3.47, 4 Ho 3.39-3.56, 2 Ce 3.55-3.59
Ho 0.2500 0.1479 0.0053  4 Sc 3.21-3.56, 3 Ce 3.38-3.56, 6 Ho 3.39-3.58
Ho 0.7500 0.3521 0.5053  4 Sc 3.21-3.56, 3 Ce 3.38-3.56, 6 Ho 3.39-3.58
Ho 0.2500 0.6479 0.4947  4 Sc 3.21-3.56, 3 Ce 3.38-3.56, 6 Ho 3.39-3.58
Ho 0.2500 0.3557 0.7289  4 Sc 3.27-3.47, 4 Ho 3.39-3.56, 2 Ce 3.55-3.59
Ho 0.2500 0.8557 0.7711  4 Sc 3.27-3.47, 4 Ho 3.39-3.56, 2 Ce 3.55-3.59
Ho 0.7500 0.8521 0.9947  4 Sc 3.21-3.56, 3 Ce 3.38-3.56, 6 Ho 3.39-3.58
Sc 0.2500 0.3685 0.2817  2 Ce 3.17-3.24, 6 Ho 3.21-3.47
Sc 0.2500 0.8685 0.2183  2 Ce 3.17-3.24, 6 Ho 3.21-3.47
Sc 0.7500 0.6315 0.7183  2 Ce 3.17-3.24, 6 Ho 3.21-3.47
Sc 0.7500 0.1315 0.7817  2 Ce 3.17-3.24, 6 Ho 3.21-3.47

Summary:
Its space group is Pnma (62). The calculated total energy is -5.263 eV/atom. The value obtained for the volume is 458.95 Å³/cell. The value obtained for the energy of formation from the pure elements is 0.092 eV per atom.


No. 9
Material: NaAcCd4
Method: DFT, PBE
State: relaxed

Lattice parameters (Å, degrees): 5.2240 6.3207 6.3207 85.91 65.59 65.59
Last column: nearest neighbours and their distance in Å.
Element x y z (fractional)
Na 0.5000 0.5000 0.5000  12 Cd 3.36-3.61
Cd 0.7353 0.5948 0.9345  3 Cd 2.93-2.96
Cd 0.2647 0.4052 0.0655  3 Cd 2.93-2.96
Cd 0.2647 0.0655 0.4052  3 Cd 2.93-2.96
Cd 0.7353 0.9345 0.5948  3 Cd 2.93-2.96
Ac 0.0000 0.0000 0.0000  12 Cd 3.49, 2 Na 3.82

Summary:
Its space group is Immm (71). The calculated total energy is -1.713 eV/atom. The value obtained for the volume is 171.81 Å³/cell. The value obtained for the energy of formation from the pure elements is -0.198 eV per atom.


No. 10
Material: CoSn2Br6
Method: DFT, PBE
State: relaxed

Lattice parameters (Å, degrees): 6.1735 11.2908 11.2908 107.46 106.51 106.51
Last column: nearest neighbours and their distance in Å.
Element x y z (fractional)
Br 0.3455 0.2884 0.4580  1 Sn 2.80
Br 0.8889 0.1194 0.6275  1 Co 2.41
Br 0.1312 0.2074 0.0109  1 Co 2.39
Br 0.6545 0.7116 0.5420  1 Sn 2.80
Br 0.1111 0.8806 0.3725  1 Co 2.41
Br 0.8455 0.4580 0.2884  1 Sn 2.80
Br 0.3889 0.6275 0.1194  1 Co 2.41
Br 0.6312 0.0109 0.2074  1 Co 2.39
Br 0.3688 0.9891 0.7926  1 Co 2.39
Br 0.8688 0.7926 0.9891  1 Co 2.39
Br 0.6111 0.3725 0.8806  1 Co 2.41
Br 0.1545 0.5420 0.7116  1 Sn 2.80
Co 0.2500 0.1768 0.8232  4 Br 2.39-2.41
Co 0.7500 0.8232 0.1768  4 Br 2.39-2.41
Sn 0.3743 0.4528 0.2505  3 Br 2.80-2.84
Sn 0.8743 0.2505 0.4528  3 Br 2.80-2.84
Sn 0.6257 0.5472 0.7495  3 Br 2.80-2.84
Sn 0.1257 0.7495 0.5472  3 Br 2.80-2.84

Summary:
Its space group is C2/c (15). The calculated total energy is -3.371 eV/atom. The raw formation energy comes out at -0.58 eV/atom. The value obtained for the volume is 658.47 Å³/cell.